Sr2TlNi | the Alexandria database | GGA-PBE | optimized geometry; electronic total energy = -0.109 hartree per atom; D(E_F) = 0.66 states/eV per atom; E_form = -8.03 kJ/mol of atoms; SG = P2/m, No. 10
1.0
3.734 0.000 0.000
0.000 3.781 0.017
0.000 3.756 8.299
Ni Sr Tl
1 2 1
Direct
0.500 0.750 0.750
0.000 0.036 0.965
0.000 0.464 0.535
0.500 0.250 0.250